Record 1
A relaxed GeOsBr3 crystal, computed with PBE-GGA.

* space group: Pm-3m
* V: 25.66 A^3/atom
* ΔE to the lowest computed polymorph: 0.000 eV/atom

Cell: 5.0437 5.0437 5.0437 Å, 90.00 90.00 90.00°
Closest atoms and distances in Å follow each position.
Fractional coordinates of all 5 atoms:
Ge 0.0000 0.0000 0.0000  12 Br 3.57
Os 0.5000 0.5000 0.5000  6 Br 2.52
Br 0.0000 0.5000 0.5000  2 Os 2.52
Br 0.5000 0.0000 0.5000  2 Os 2.52
Br 0.5000 0.5000 0.0000  2 Os 2.52

=====

Record 2
A relaxed Ho4SiS3 crystal, computed with PBE-GGA.

* space group: Pm-3m
* V: 21.67 A^3/atom

Cell: 5.5761 5.5761 5.5761 Å, 90.00 90.00 90.00°
Closest atoms and distances in Å follow each position.
Fractional coordinates of all 8 atoms:
Ho 0.0000 0.0000 0.0000  6 S 2.79
Ho 0.0000 0.5000 0.5000  4 S 2.79, 2 Si 2.79
Ho 0.5000 0.0000 0.5000  4 S 2.79, 2 Si 2.79
Ho 0.5000 0.5000 0.0000  4 S 2.79, 2 Si 2.79
Si 0.5000 0.5000 0.5000  6 Ho 2.79
S 0.0000 0.0000 0.5000  6 Ho 2.79
S 0.0000 0.5000 0.0000  6 Ho 2.79
S 0.5000 0.0000 0.0000  6 Ho 2.79

=====

no.,density (Mg/m³),E_tot (eV per atom),formation energy without anion corrections (eV/atom)
1,6.5,-3.45,0.7192
2,7.5,-6.25,-1.7332